Density functional theory data (PBE+U) for a geometry-optimized MnSO2 structure.

Values from the calculation:
Raw total energy (eV per formula unit): -20.147

a b c (Å): 5.393 5.393 8.074
angles (deg): 90.00 90.00 90.00
Positions (direct):
Mn 0.000 0.000 0.000
Mn 0.000 0.500 0.250
Mn 0.500 0.000 0.750
Mn 0.500 0.500 0.500
S 0.000 0.000 0.500
S 0.000 0.500 0.750
S 0.500 0.000 0.250
S 0.500 0.500 0.000
O 0.085 0.250 0.125
O 0.250 0.585 0.375
O 0.250 0.915 0.875
O 0.415 0.250 0.625
O 0.585 0.750 0.625
O 0.750 0.085 0.875
O 0.750 0.415 0.375
O 0.915 0.750 0.125